(1)
Computed, not measured: CaPr14Tm after structural relaxation at the PBE level of DFT.

Summary:
ΔE_f	21	meV per atom
space-group type	Amm2

The structure in POSCAR format:
```
CaPr14Tm
1.0
10.439 0.000 0.000
0.000 5.252 5.252
0.000 -5.252 5.252
Ca Pr Tm
1 14 1
Cartesian
0.000 0.000 0.000 Ca
0.000 -2.624 2.628 Pr
0.000 2.624 2.628 Pr
2.616 0.000 2.672 Pr
2.617 -2.580 5.254 Pr
2.617 2.580 5.254 Pr
2.618 0.000 7.835 Pr
5.220 2.623 7.881 Pr
5.220 0.000 0.006 Pr
5.220 0.000 5.252 Pr
5.220 -2.623 7.881 Pr
7.823 0.000 2.672 Pr
7.822 -2.580 5.254 Pr
7.822 2.580 5.254 Pr
7.821 0.000 7.835 Pr
0.000 0.000 5.255 Tm
```

***

(2)
Computed, not measured: CaPrTm2 after structural relaxation at the PBE level of DFT.

Summary:
ΔE_f	76	meV per atom
space-group type	R3m
offset from the most stable computed form	0.0	kJ per mole of atoms

The structure in POSCAR format:
```
CaPrTm2
1.0
1.805 1.042 11.989
-1.805 1.042 11.989
0.000 -2.084 11.989
Ca Pr Tm
1 1 2
Cartesian
0.000 0.000 0.000 Ca
0.000 0.000 5.957 Pr
0.000 0.000 20.841 Tm
0.000 0.000 27.081 Tm
```

***

(3)
Computed, not measured: CaPr6Tm3 after structural relaxation at the PBE level of DFT.

Summary:
ΔE_f	49	meV per atom
space-group type	P2_1/m

The structure in POSCAR format:
```
CaPr6Tm3
1.0
11.665 0.000 0.000
0.000 3.614 0.000
-0.112 0.000 16.592
Ca Pr Tm
2 12 6
Cartesian
1.410 0.904 7.619 Ca
10.143 2.711 8.972 Ca
1.207 0.904 1.029 Pr
1.484 2.711 11.180 Pr
1.631 2.711 4.221 Pr
4.135 2.711 15.907 Pr
4.364 2.711 8.925 Pr
4.530 0.904 12.465 Pr
7.023 2.711 4.127 Pr
7.189 0.904 7.667 Pr
7.418 0.904 0.685 Pr
9.922 0.904 12.371 Pr
10.069 0.904 5.411 Pr
10.346 2.711 15.562 Pr
1.439 0.904 14.189 Tm
4.307 0.904 2.484 Tm
4.363 0.904 5.772 Tm
7.189 2.711 10.820 Tm
7.246 2.711 14.108 Tm
10.114 2.711 2.403 Tm
```

***

(4)
Computed, not measured: Ca2Pr5Tm after structural relaxation at the PBE level of DFT.

Summary:
ΔE_f	37	meV per atom
space-group type	I4/mmm

The structure in POSCAR format:
```
Ca2Pr5Tm
1.0
-2.613 2.613 10.683
2.613 -2.613 10.683
2.613 2.613 -10.683
Ca Pr Tm
2 5 1
Cartesian
0.000 0.000 5.331 Ca
0.000 0.000 16.036 Ca
0.000 0.000 0.000 Pr
2.613 0.000 2.515 Pr
2.613 0.000 8.168 Pr
0.000 2.613 2.515 Pr
0.000 2.613 8.168 Pr
0.000 0.000 10.683 Tm
```

***

(5)
Computed, not measured: CaPr6Tm12 after structural relaxation at the PBE level of DFT.

Summary:
ΔE_f	458	meV per atom
space-group type	R-3m

The structure in POSCAR format:
```
CaPr6Tm12
1.0
7.456 4.305 3.530
-7.456 4.305 3.530
0.000 -8.610 3.530
Ca Pr Tm
1 6 12
Cartesian
0.000 0.000 0.000 Ca
-2.935 -1.694 5.885 Pr
0.000 -3.389 4.705 Pr
-2.935 1.694 4.705 Pr
2.935 -1.694 5.885 Pr
0.000 3.389 5.885 Pr
2.935 1.694 4.705 Pr
-1.768 -1.021 2.714 Tm
-2.893 -5.011 5.295 Tm
-5.787 0.000 5.295 Tm
1.768 -1.021 2.714 Tm
0.000 2.041 2.714 Tm
2.893 -5.011 5.295 Tm
-2.893 5.011 5.295 Tm
0.000 -2.041 7.876 Tm
-1.768 1.021 7.876 Tm
5.787 0.000 5.295 Tm
2.893 5.011 5.295 Tm
1.768 1.021 7.876 Tm
```

***

(6)
Computed, not measured: CaPrTm after structural relaxation at the PBE level of DFT.

Summary:
ΔE_f	56	meV per atom
space-group type	P4/nmm
offset from the most stable computed form	2.5	kJ per mole of atoms

The structure in POSCAR format:
```
CaPrTm
1.0
4.017 0.000 0.000
0.000 4.017 0.000
0.000 0.000 13.653
Ca Pr Tm
2 2 2
Cartesian
1.004 1.004 1.359 Ca
3.013 3.013 12.294 Ca
1.004 1.004 9.737 Pr
3.013 3.013 3.916 Pr
1.004 1.004 5.931 Tm
3.013 3.013 7.722 Tm
```

***

(7)
Computed, not measured: CaPr2Tm after structural relaxation at the PBE level of DFT.

Summary:
ΔE_f	94	meV per atom
space-group type	P4/mmm
offset from the most stable computed form	6.0	kJ per mole of atoms

The structure in POSCAR format:
```
CaPr2Tm
1.0
5.316 0.000 0.000
0.000 5.316 0.000
0.000 0.000 4.977
Ca Pr Tm
1 2 1
Cartesian
0.000 0.000 0.000 Ca
0.000 2.658 2.489 Pr
2.658 0.000 2.489 Pr
2.658 2.658 0.000 Tm
```

***

(8)
Computed, not measured: CaPr5Tm3 after structural relaxation at the PBE level of DFT.

Summary:
ΔE_f	71	meV per atom
space-group type	Cmcm

The structure in POSCAR format:
```
CaPr5Tm3
1.0
8.681 -5.004 0.000
8.681 5.004 0.000
0.000 0.000 7.108
Ca Pr Tm
2 10 6
Cartesian
8.681 3.098 5.331 Ca
8.681 -3.098 1.777 Ca
5.475 1.834 5.331 Pr
8.681 3.495 1.777 Pr
6.028 1.461 1.777 Pr
6.028 -1.461 5.331 Pr
5.475 -1.834 1.777 Pr
11.886 1.834 5.331 Pr
11.333 1.461 1.777 Pr
11.333 -1.461 5.331 Pr
8.681 -3.495 5.331 Pr
11.886 -1.834 1.777 Pr
2.888 0.000 0.000 Tm
2.888 0.000 3.554 Tm
8.681 0.000 0.000 Tm
8.681 0.000 3.554 Tm
14.473 0.000 0.000 Tm
14.473 0.000 3.554 Tm
```

***

(9)
Computed, not measured: Ca2PrTm after structural relaxation at the PBE level of DFT.

Summary:
ΔE_f	162	meV per atom
space-group type	P4/mmm
offset from the most stable computed form	1.7	kJ per mole of atoms

The structure in POSCAR format:
```
Ca2PrTm
1.0
4.146 0.000 0.000
0.000 4.146 0.000
0.000 0.000 8.430
Ca Pr Tm
2 1 1
Cartesian
0.000 0.000 2.027 Ca
0.000 0.000 6.403 Ca
2.073 2.073 4.215 Pr
2.073 2.073 0.000 Tm
```

***

(10)
Computed, not measured: CaPr9Tm2 after structural relaxation at the PBE level of DFT.

Summary:
ΔE_f	26	meV per atom
space-group type	P4/mmm

The structure in POSCAR format:
```
CaPr9Tm2
1.0
5.203 0.000 0.000
0.000 5.203 0.000
0.000 0.000 15.649
Ca Pr Tm
1 9 2
Cartesian
0.000 0.000 0.000 Ca
0.000 2.601 2.706 Pr
0.000 2.601 7.825 Pr
0.000 2.601 12.943 Pr
2.601 0.000 2.706 Pr
2.601 0.000 7.825 Pr
2.601 0.000 12.943 Pr
2.601 2.601 0.000 Pr
2.601 2.601 5.247 Pr
2.601 2.601 10.402 Pr
0.000 0.000 5.238 Tm
0.000 0.000 10.412 Tm
```

***

(11)
Computed, not measured: CaPrTm2 after structural relaxation at the PBE level of DFT.

Summary:
ΔE_f	182	meV per atom
space-group type	R-3m
offset from the most stable computed form	10.2	kJ per mole of atoms

The structure in POSCAR format:
```
CaPrTm2
1.0
1.780 1.028 12.533
-1.780 1.028 12.533
0.000 -2.055 12.533
Ca Pr Tm
1 1 2
Cartesian
0.000 0.000 0.000 Ca
0.000 0.000 18.800 Pr
0.000 0.000 3.374 Tm
0.000 0.000 34.226 Tm
```

***

(12)
Computed, not measured: CaPr3Tm2 after structural relaxation at the PBE level of DFT.

Summary:
ΔE_f	194	meV per atom
space-group type	Cmcm

The structure in POSCAR format:
```
CaPr3Tm2
1.0
5.070 -6.177 0.000
5.070 6.177 0.000
0.000 0.000 6.749
Ca Pr Tm
2 6 4
Cartesian
5.070 5.947 5.062 Ca
5.070 -5.947 1.687 Ca
3.318 3.100 1.687 Pr
5.070 2.610 5.062 Pr
6.821 3.100 1.687 Pr
3.318 -3.100 5.062 Pr
5.070 -2.610 1.687 Pr
6.821 -3.100 5.062 Pr
3.328 0.000 0.000 Tm
3.328 0.000 3.374 Tm
6.812 0.000 0.000 Tm
6.812 0.000 3.374 Tm
```

***

(13)
Computed, not measured: CaPrTm2 after structural relaxation at the PBE level of DFT.

Summary:
ΔE_f	129	meV per atom
space-group type	P4/mmm
offset from the most stable computed form	5.1	kJ per mole of atoms

The structure in POSCAR format:
```
CaPrTm2
1.0
5.087 0.000 0.000
0.000 5.087 0.000
0.000 0.000 5.186
Ca Pr Tm
1 1 2
Cartesian
0.000 0.000 0.000 Ca
2.544 2.544 0.000 Pr
0.000 2.544 2.593 Tm
2.544 0.000 2.593 Tm
```

***

(14)
Computed, not measured: CaPr8Tm2 after structural relaxation at the PBE level of DFT.

Summary:
ΔE_f	138	meV per atom
space-group type	Immm

The structure in POSCAR format:
```
CaPr8Tm2
1.0
-2.861 4.328 8.027
2.861 -4.328 8.027
2.861 4.328 -8.027
Ca Pr Tm
1 8 2
Cartesian
0.000 0.000 0.000 Ca
2.861 -1.730 5.704 Pr
2.861 0.000 2.569 Pr
2.861 2.682 0.000 Pr
0.000 2.598 2.323 Pr
2.861 1.730 5.704 Pr
0.000 1.647 8.027 Pr
0.000 4.328 5.458 Pr
0.000 6.058 2.323 Pr
0.000 0.000 4.764 Tm
0.000 0.000 11.289 Tm
```

***

(15)
Computed, not measured: Ca2Pr6Tm after structural relaxation at the PBE level of DFT.

Summary:
ΔE_f	80	meV per atom
space-group type	P-1

The structure in POSCAR format:
```
Ca2Pr6Tm
1.0
6.846 0.000 0.000
1.140 8.836 0.000
0.730 0.624 10.900
Ca Pr Tm
4 12 2
Cartesian
1.041 1.061 1.193 Ca
3.262 6.486 0.400 Ca
5.455 2.974 10.500 Ca
7.675 8.399 9.707 Ca
1.490 6.681 3.538 Pr
2.165 6.423 6.900 Pr
2.301 4.365 9.672 Pr
2.092 0.512 4.925 Pr
3.053 0.666 8.484 Pr
3.184 3.591 2.774 Pr
5.533 5.869 8.126 Pr
5.664 8.795 2.415 Pr
6.625 8.948 5.975 Pr
6.416 5.096 1.227 Pr
6.552 3.037 3.999 Pr
7.227 2.779 7.362 Pr
3.801 3.331 6.354 Tm
4.916 6.130 4.546 Tm
```

***

(16)
Computed, not measured: Ca2Pr8Tm3 after structural relaxation at the PBE level of DFT.

Summary:
ΔE_f	46	meV per atom
space-group type	P-1

The structure in POSCAR format:
```
Ca2Pr8Tm3
1.0
6.354 0.000 0.000
-2.158 7.995 0.000
-3.107 -1.755 9.015
Ca Pr Tm
2 8 3
Cartesian
-0.509 0.267 1.730 Ca
1.598 5.973 7.286 Ca
-1.564 0.889 5.233 Pr
-0.546 3.790 3.116 Pr
-1.552 4.221 6.589 Pr
0.553 6.493 1.048 Pr
0.537 -0.254 7.968 Pr
2.642 2.019 2.427 Pr
1.635 2.450 5.900 Pr
2.653 5.350 3.783 Pr
-2.581 1.497 8.677 Tm
1.624 -0.878 4.508 Tm
3.671 4.743 0.339 Tm
```

***

(17)
Computed, not measured: CaPr12Tm7 after structural relaxation at the PBE level of DFT.

Summary:
ΔE_f	639	meV per atom
space-group type	Im-3

The structure in POSCAR format:
```
CaPr12Tm7
1.0
-5.825 5.825 5.825
5.825 -5.825 5.825
5.825 5.825 -5.825
Ca Pr Tm
1 12 7
Cartesian
0.000 0.000 0.000 Ca
5.825 -2.440 3.129 Pr
3.385 2.696 0.000 Pr
8.266 2.696 0.000 Pr
3.129 5.825 -2.440 Pr
2.696 0.000 3.385 Pr
5.825 2.440 3.129 Pr
0.000 3.385 2.696 Pr
3.129 5.825 2.440 Pr
2.696 0.000 8.266 Pr
-2.440 3.129 5.825 Pr
2.440 3.129 5.825 Pr
0.000 8.266 2.696 Pr
2.913 2.913 -2.913 Tm
2.913 -2.913 2.913 Tm
5.825 0.000 0.000 Tm
-2.913 2.913 2.913 Tm
0.000 5.825 0.000 Tm
0.000 0.000 5.825 Tm
2.913 2.913 2.913 Tm
```

***

(18)
Computed, not measured: CaPr5Tm4 after structural relaxation at the PBE level of DFT.

Summary:
ΔE_f	30	meV per atom
space-group type	P4/mmm

The structure in POSCAR format:
```
CaPr5Tm4
1.0
3.652 0.000 0.000
0.000 3.652 0.000
0.000 0.000 25.548
Ca Pr Tm
1 5 4
Cartesian
0.000 0.000 0.000 Ca
1.826 1.826 2.824 Pr
1.826 1.826 7.798 Pr
1.826 1.826 12.774 Pr
1.826 1.826 17.751 Pr
1.826 1.826 22.724 Pr
0.000 0.000 5.268 Tm
0.000 0.000 10.278 Tm
0.000 0.000 15.270 Tm
0.000 0.000 20.281 Tm
```

***

(19)
Computed, not measured: CaPr4Tm5 after structural relaxation at the PBE level of DFT.

Summary:
ΔE_f	254	meV per atom
space-group type	C2/m

The structure in POSCAR format:
```
CaPr4Tm5
1.0
8.809 -1.791 0.000
8.809 1.791 0.000
-2.979 0.000 11.439
Ca Pr Tm
1 4 5
Cartesian
0.000 0.000 0.000 Ca
1.235 0.000 8.346 Pr
7.744 0.000 2.893 Pr
6.895 0.000 8.546 Pr
13.404 0.000 3.094 Pr
-1.489 0.000 5.720 Tm
5.782 0.000 0.158 Tm
4.278 0.000 6.302 Tm
10.361 0.000 5.137 Tm
8.858 0.000 11.281 Tm
```

***

(20)
Computed, not measured: CaPrTm after structural relaxation at the PBE level of DFT.

Summary:
ΔE_f	59	meV per atom
space-group type	P3m1
offset from the most stable computed form	2.8	kJ per mole of atoms

The structure in POSCAR format:
```
CaPrTm
1.0
3.659 0.000 0.000
-1.829 3.169 0.000
0.000 0.000 9.143
Ca Pr Tm
1 1 1
Cartesian
0.000 0.000 0.000 Ca
0.000 2.112 5.877 Pr
1.829 1.056 3.086 Tm
```